Run 1
DFT (GGA-PBE) results for a geometry-optimized In4AgHg7 structure.

Cell: 13.403 3.516 13.774 Å, 90.00 96.49 90.00°
Space group Cm (No. 8)
One atom of each set of equivalent atoms:
In 0.000 0.000 0.000 (multiplicity 2)
In 0.031 0.500 0.609 (multiplicity 2)
In 0.273 0.500 0.332 (multiplicity 2)
In 0.385 0.000 0.164 (multiplicity 2)
Ag 0.192 0.000 0.708 (multiplicity 2)
Hg 0.081 0.500 0.838 (multiplicity 2)
Hg 0.091 0.000 0.235 (multiplicity 2)
Hg 0.199 0.000 0.495 (multiplicity 2)
Hg 0.203 0.500 0.061 (multiplicity 2)
Hg 0.318 0.000 0.894 (multiplicity 2)
Hg 0.362 0.500 0.673 (multiplicity 2)
Hg 0.474 0.000 0.395 (multiplicity 2)

Results
DOS at the Fermi energy   0.343 states/eV per atom
Calculated density   10.15 Mg/m³

Run 2
DFT (GGA-PBE) results for a geometry-optimized In4AgHg7 structure.

Cell: 4.8184 4.8184 15.5477 Å, 90.00 90.00 120.00°
Space group P-3m1 (No. 164)
One atom of each set of equivalent atoms:
In 0.3333 0.6667 0.1514 (multiplicity 2)
In 0.3333 0.6667 0.4158 (multiplicity 2)
Ag 0.0000 0.0000 0.0000 (multiplicity 1)
Hg 0.0000 0.0000 0.2408 (multiplicity 2)
Hg 0.0000 0.0000 0.5000 (multiplicity 1)
Hg 0.3333 0.6667 0.6716 (multiplicity 2)
Hg 0.3333 0.6667 0.9333 (multiplicity 2)

Results
DOS at the Fermi energy   0.430 states/eV per atom
Calculated density   10.47 Mg/m³

Q: What are the energies relative to the best structure? A: run 1 0.0; run 2 0.7, in kJ/mol of atoms.

Run 1
DFT (GGA-PBE) results for a geometry-optimized InAg2Hg structure.

Cell: 11.467 3.078 5.091 Å, 90.00 110.31 90.00°
Space group Cm (No. 8)
One atom of each set of equivalent atoms:
In 0.000 0.000 0.000 (multiplicity 2)
Ag 0.035 0.500 0.520 (multiplicity 2)
Ag 0.249 0.000 0.889 (multiplicity 2)
Hg 0.282 0.500 0.407 (multiplicity 2)

Results
DOS at the Fermi energy   0.228 states/eV per atom
Calculated density   10.47 Mg/m³

Run 2
DFT (GGA-PBE) results for a geometry-optimized InAg2Hg structure.

Cell: 3.000 5.218 5.280 Å, 90.00 90.00 90.00°
Space group Pmm2 (No. 25)
One atom of each set of equivalent atoms:
In 0.000 0.000 0.000 (multiplicity 1)
Ag 0.500 0.000 0.508 (multiplicity 1)
Ag 0.500 0.500 0.830 (multiplicity 1)
Hg 0.000 0.500 0.339 (multiplicity 1)

Results
DOS at the Fermi energy   0.205 states/eV per atom
Calculated density   10.67 Mg/m³

Q: What are the energies relative to the best structure? A: run 1 0.0; run 2 0.7, in kJ/mol of atoms.